BaDy4TmSe8: optimized geometry, PBE.

The structure in POSCAR format:
```
BaDy4TmSe8
1.0
8.6049 0.0000 0.0000
4.3024 7.4520 0.0000
4.3024 2.4840 6.9859
Dy Se Ba Tm
4 8 1 1
Direct
0.0017 0.4949 0.5016
0.4949 0.0017 0.5016
0.6247 0.6247 0.1259
0.0017 0.0017 0.5016
0.2271 0.7593 0.2544
0.2304 0.8030 0.7363
0.8030 0.2304 0.7363
0.2330 0.2330 0.3010
0.7593 0.7593 0.2544
0.2304 0.2304 0.7363
0.7593 0.2271 0.2544
0.7570 0.7570 0.7289
0.3760 0.3760 0.8721
0.0015 0.0015 0.9954
```

Results
* symmetry: R3m
* energy relative to the elements, uncorrected: -1.7665 eV per atom
* final energy: -77.41 eV/f.u.
* DOS at the Fermi energy: 0.280 states/eV/atom

BaDyTm4Se8: optimized geometry, PBE.

The structure in POSCAR format:
```
BaDyTm4Se8
1.0
8.5153 0.0000 0.0000
4.2576 7.3744 0.0000
4.2576 2.4581 7.0002
Tm Se Dy Ba
4 8 1 1
Direct
0.6252 0.6252 0.1243
0.0015 0.0015 0.5017
0.4953 0.0015 0.5017
0.0015 0.4953 0.5017
0.2345 0.2345 0.7282
0.2345 0.8027 0.7282
0.2296 0.7553 0.2598
0.7553 0.7553 0.2598
0.7553 0.2296 0.2598
0.2315 0.2315 0.3055
0.8027 0.2345 0.7282
0.7573 0.7573 0.7281
0.0020 0.0020 0.9940
0.3737 0.3737 0.8790
```

Results
* symmetry: R3m
* energy relative to the elements, uncorrected: -1.7447 eV per atom
* final energy: -76.71 eV/f.u.
* DOS at the Fermi energy: 0.320 states/eV/atom

Ba3Dy3TmSe8: optimized geometry, PBE.

The structure in POSCAR format:
```
Ba3Dy3TmSe8
1.0
-5.9023 -5.8764 1.1689
6.1339 0.9787 5.6623
-6.3568 6.3008 -0.4357
Se Ba Dy Tm
8 3 3 1
Direct
0.2356 0.4713 0.7089
0.7644 0.5287 0.2911
0.2358 0.9732 0.7092
0.7377 0.9733 0.7091
0.2624 0.5249 0.2873
0.7642 0.0268 0.2908
0.7376 0.4751 0.7127
0.2623 0.0267 0.2909
0.5000 0.5000 0.0000
0.0000 0.0000 0.0000
0.0000 0.5000 0.0000
0.5000 0.5000 0.5000
0.0000 0.5000 0.5000
0.5000 0.0000 0.5000
0.0000 0.0000 0.5000
```

Results
* symmetry: R-3m
* energy relative to the elements, uncorrected: -1.9209 eV per atom
* final energy: -80.74 eV/f.u.
* DOS at the Fermi energy: 0.224 states/eV/atom

Ba2DyTmSe4: optimized geometry, PBE.

The structure in POSCAR format:
```
Ba2DyTmSe4
1.0
-2.6209 -0.4793 3.3353
2.6593 -6.7857 1.1147
4.2933 5.0411 4.0982
Ba Se Tm Dy
2 4 1 1
Direct
0.5000 0.0000 0.5000
0.0000 0.5000 0.5000
0.0000 0.7397 0.2101
0.0000 0.2603 0.7899
0.5000 0.2336 0.2085
0.5000 0.7664 0.7915
0.0000 0.0000 0.0000
0.5000 0.5000 0.0000
```

Results
* symmetry: P2/m
* energy relative to the elements, uncorrected: -1.8579 eV per atom
* final energy: -41.72 eV/f.u.
* DOS at the Fermi energy: 0.475 states/eV/atom

Ba2DyUSe6: optimized geometry, PBE.

The structure in POSCAR format:
```
Ba2DyUSe6
1.0
7.4574 0.0000 -0.0227
0.0000 7.8486 0.0000
0.0346 0.0000 10.8015
Se Dy Ba U
12 2 4 2
Direct
0.7017 0.3039 0.9549
0.8075 0.7951 0.9537
0.0879 0.4829 0.7542
0.4121 0.9829 0.7458
0.2017 0.1961 0.4549
0.7983 0.8039 0.5451
0.5879 0.0171 0.2542
0.1925 0.2049 0.0463
0.2983 0.6961 0.0451
0.9121 0.5171 0.2458
0.6925 0.2951 0.5463
0.3075 0.7049 0.4537
0.5000 0.0000 0.0000
0.0000 0.5000 0.5000
0.9784 0.0723 0.7494
0.5216 0.5723 0.7506
0.4784 0.4277 0.2494
0.0216 0.9277 0.2506
0.0000 0.5000 0.0000
0.5000 0.0000 0.5000
```

Results
* symmetry: P2_1/c
* energy relative to the elements, uncorrected: -1.7135 eV per atom
* final energy: -57.78 eV/f.u.
* DOS at the Fermi energy: 0.025 states/eV/atom

Ba3DyY3Se8: optimized geometry, PBE.

The structure in POSCAR format:
```
Ba3DyY3Se8
1.0
-5.1749 -4.8271 -4.5901
5.5952 -3.5744 5.2012
-7.0793 4.1422 3.6250
Y Ba Se Dy
3 3 8 1
Direct
0.0000 0.5000 0.5000
0.5000 0.5000 0.5000
0.5000 0.0000 0.5000
0.5000 0.5000 0.0000
0.0000 0.5000 0.0000
0.0000 0.0000 0.0000
0.2378 0.9736 0.7113
0.7358 0.9736 0.7113
0.7622 0.0264 0.2887
0.7623 0.5246 0.2888
0.2620 0.5241 0.2863
0.2642 0.0264 0.2887
0.7380 0.4759 0.7137
0.2377 0.4754 0.7112
0.0000 0.0000 0.5000
```

Results
* symmetry: R-3m
* energy relative to the elements, uncorrected: -1.9332 eV per atom
* final energy: -86.64 eV/f.u.
* DOS at the Fermi energy: 0.240 states/eV/atom